Density functional theory data (PBE) for crystalline BrClO2 at its relaxed geometry.

Total magnetization in Bohr magnetons per cell: 1.4
DOS at the Fermi energy in states/eV/f.u.: 4.052
Formation energy from raw total energies in meV per atom: 884
DFT total energy in eV per atom: -2.475

Cell lengths 6.2851, 6.2851, 6.2851 Å; angles 120.27, 120.27, 89.53 degrees
Fractional positions:
Br 0.3750 0.6250 0.7500
Br 0.6250 0.3750 0.2500
Cl 0.1250 0.8750 0.2500
Cl 0.8750 0.1250 0.7500
O 0.0000 0.5000 0.5000
O 0.5000 0.0000 0.0000
O 0.5000 0.5000 0.0000
O 0.5000 0.5000 0.5000